P2SeOF | PBE | optimized geometry

## Properties
- Raw formation energy: 4.5 eV per formula unit
- M_tot: 0.00 μB/cell
- Offset from the most stable computed form: 272 meV/atom
- Uncorrected energy: -0.1224 hartree per atom
- N(E_F): 5.0 states/eV/cell

Cell: 4.291 4.291 4.005 Å, 90.00 90.00 90.00°
Element x y z (fractional)
F1 0.000 0.000 0.000
P1 0.500 0.000 0.000
P2 0.000 0.500 0.000
Se1 0.500 0.500 0.500
O1 0.000 0.000 0.500

***

TbHoNi | PBE | optimized geometry

## Properties
- M_tot: 0.00 μB/cell
- DFT formation energy: 0.00 eV per atom
- Offset from the most stable computed form: 286 meV/atom
- Uncorrected energy: -0.1838 hartree per atom
- N(E_F): 5.4 states/eV/cell

Cell: 5.075 5.804 5.804 Å, 91.64 106.56 106.56°
Element x y z (fractional)
Ni1 0.534 0.358 0.358
Ni2 0.988 0.612 0.612
Tb1 0.513 0.513 0.896
Tb2 0.513 0.896 0.513
Ho1 0.998 0.287 0.287
Ho2 0.184 0.946 0.946

***

RbUInCl6 | PBE | optimized geometry

## Properties
- Raw formation energy: -14.6 eV per formula unit
- M_tot: 4.00 μB/cell
- Uncorrected energy: -0.1663 hartree per atom
- N(E_F): 14.3 states/eV/cell

Cell: 7.813 7.813 13.181 Å, 90.00 90.00 120.00°
Site moments in Bohr magnetons follow the coordinates.
Element x y z (fractional)
U1 0.667 0.333 0.250  2.07
U2 0.333 0.667 0.750  2.07
Cl1 0.392 0.340 0.364  -0.02
Cl2 0.052 0.660 0.864  -0.02
Cl3 0.948 0.340 0.136  -0.02
Cl4 0.340 0.392 0.864  -0.02
Cl5 0.660 0.052 0.364  -0.02
Cl6 0.660 0.608 0.136  -0.02
Cl7 0.052 0.392 0.636  -0.02
Cl8 0.392 0.052 0.136  -0.02
Cl9 0.608 0.948 0.864  -0.02
Cl10 0.340 0.948 0.636  -0.02
Cl11 0.948 0.608 0.364  -0.02
Cl12 0.608 0.660 0.636  -0.02
In1 0.667 0.333 0.750  0.00
In2 0.333 0.667 0.250  0.00
Rb1 0.000 0.000 0.000  0.00
Rb2 0.000 0.000 0.500  0.00

***

Nd3HoTh2 | PBE | optimized geometry

## Properties
- M_tot: 0.00 μB/cell
- DFT formation energy: 0.07 eV per atom
- Offset from the most stable computed form: 23 meV/atom
- Uncorrected energy: -0.2041 hartree per atom
- N(E_F): 8.3 states/eV/cell

Cell: 5.116 5.147 8.052 Å, 90.00 108.52 90.00°
Element x y z (fractional)
Nd1 0.331 0.000 0.663
Nd2 0.500 0.500 0.000
Nd3 0.669 0.000 0.337
Ho1 0.000 0.000 0.000
Th1 0.168 0.500 0.335
Th2 0.832 0.500 0.665

***

Sb3PbCl | PBE | optimized geometry

## Properties
- Raw formation energy: 2.8 eV per formula unit
- M_tot: 0.00 μB/cell
- Offset from the most stable computed form: 0 meV/atom
- Uncorrected energy: -0.1115 hartree per atom
- N(E_F): 3.4 states/eV/cell

Cell: 5.397 5.397 5.397 Å, 90.00 90.00 90.00°
Element x y z (fractional)
Sb1 0.000 0.500 0.000
Sb2 0.500 0.000 0.000
Sb3 0.000 0.000 0.500
Pb1 0.500 0.500 0.500
Cl1 0.000 0.000 0.000

***

CaMgCu2 | PBE | optimized geometry

## Properties
- M_tot: 0.00 μB/cell
- DFT formation energy: 0.07 eV per atom
- Uncorrected energy: -0.1058 hartree per atom
- N(E_F): 3.2 states/eV/cell

Cell: 7.959 7.959 7.959 Å, 146.31 146.31 48.38°
Element x y z (fractional)
Ca1 0.250 0.750 0.500
Ca2 0.750 0.250 0.500
Mg1 0.904 0.904 0.000
Mg2 0.096 0.096 0.000
Cu1 0.412 0.412 0.000
Cu2 0.588 0.588 0.000
Cu3 0.000 0.500 0.500
Cu4 0.500 0.000 0.500

***

LiAlCr2 | PBE | optimized geometry

## Properties
- M_tot: 0.00 μB/cell
- DFT formation energy: 0.14 eV per atom
- Uncorrected energy: -0.2236 hartree per atom
- N(E_F): 2.9 states/eV/cell

Cell: 2.603 2.603 8.529 Å, 90.00 90.00 111.97°
Element x y z (fractional)
Li1 0.000 0.000 0.494
Cr1 0.500 0.500 0.224
Cr2 0.000 0.000 0.017
Al1 0.500 0.500 0.764

***

Cu3SnP4O16 | PBE | optimized geometry

## Properties
- Raw formation energy: -37.9 eV per formula unit
- M_tot: 0.35 μB/cell
- Uncorrected energy: -0.2375 hartree per atom
- N(E_F): 4.1 states/eV/cell

Cell: 6.068 5.160 10.118 Å, 86.79 90.00 90.00°
Site moments in Bohr magnetons follow the coordinates.
Element x y z (fractional)
O1 0.000 0.847 0.542  0.00
O2 0.500 0.105 0.447  0.01
O3 0.500 0.738 0.144  0.00
O4 0.810 0.741 0.824  0.03
O5 0.000 0.287 0.863  0.00
O6 0.199 0.776 0.326  0.00
O7 0.698 0.291 0.177  0.00
O8 0.000 0.603 0.044  0.00
O9 0.190 0.741 0.824  0.03
O10 0.000 0.211 0.365  -0.01
O11 0.704 0.218 0.658  0.00
O12 0.296 0.218 0.658  0.00
O13 0.500 0.784 0.639  0.04
O14 0.302 0.291 0.177  0.00
O15 0.500 0.431 0.963  0.02
O16 0.801 0.776 0.326  0.00
P1 0.500 0.447 0.116  0.00
P2 0.000 0.912 0.388  0.00
P3 0.500 0.077 0.598  0.00
P4 0.000 0.572 0.895  0.00
Cu1 0.500 0.658 0.814  0.24
Cu2 0.500 0.867 0.313  0.00
Cu3 0.000 0.366 0.191  -0.03
Sn1 0.000 0.045 0.707  0.00